VASP calculation (PBE) on LaTm2Mg after structural relaxation.

```
LaTm2Mg
1.0
4.9128 0.0000 0.0000
0.0000 4.9128 0.0000
0.0000 0.0000 5.0377
La Tm Mg
1 2 1
Direct
0.0000 0.0000 0.0000 La
0.0000 0.5000 0.5000 Tm
0.5000 0.0000 0.5000 Tm
0.5000 0.5000 0.0000 Mg
```

## Properties
Polymorph energy (0 for the lowest one) ... 48 meV/atom
Space group ... P4/mmm (123)
Fermi-level density of states ... 6.612 states/eV/f.u.
Calculated formation energy ... 12 kJ/mol of formula units
Spin magnetization ... 0.0 μB per cell